1.
## Na2GaSbH (GGA-PBE)

Data for a geometry-optimized Na2GaSbH structure.

a = 4.413 Å, b = 4.413 Å, c = 4.992 Å
α = 90.00°, β = 90.00°, γ = 90.00°
Fractional positions:
Sb 0.500 0.500 0.500
H 0.000 0.000 0.000
Ga 0.000 0.000 0.500
Na 0.000 0.500 0.000
Na 0.500 0.000 0.000

- Space-group type: No. 123
- Calculated volume: 97.2 Å³/cell
- VASP energy: -13.9 eV per cell
- Total moment: 0.00 μB/f.u.

***

2.
## NaLi2MnCl8 (GGA-PBE)

Data for a geometry-optimized NaLi2MnCl8 structure.

a = 6.496 Å, b = 5.669 Å, c = 7.808 Å
α = 83.31°, β = 91.65°, γ = 100.56°
Fractional positions:
Na 0.000 0.000 0.500
Li 0.568 0.415 0.776
Li 0.432 0.585 0.224
Mn 0.000 0.000 0.000
Cl 0.108 0.759 0.230
Cl 0.683 0.734 0.985
Cl 0.855 0.192 0.186
Cl 0.892 0.241 0.770
Cl 0.317 0.266 0.015
Cl 0.145 0.808 0.814
Cl 0.524 0.746 0.507
Cl 0.476 0.254 0.493

- Space-group type: No. 2
- Calculated volume: 280.8 Å³/cell
- Energy relative to the elements, uncorrected: -1.164 eV/atom
- Total moment: 3.23 μB/f.u.

***

3.
## CaAcDy2In4 (GGA-PBE)

Data for a geometry-optimized CaAcDy2In4 structure.

a = 5.467 Å, b = 5.467 Å, c = 9.583 Å
α = 73.43°, β = 73.43°, γ = 60.00°
Fractional positions:
Ca 0.500 0.500 0.500
Ac 0.000 0.000 0.000
Dy 0.752 0.752 0.743
Dy 0.248 0.248 0.257
In 0.378 0.378 0.865
In 0.872 0.872 0.383
In 0.128 0.128 0.617
In 0.622 0.622 0.135

- Space-group type: No. 166
- Calculated volume: 234.2 Å³/cell
- VASP energy: -29.6 eV per cell
- Total moment: 0.00 μB/f.u.

***

> What is the calculated volume in the third record?

234.2 Å³/cell